DFT (PBE-GGA) results for a relaxed MgNpZn2 crystal.

## Properties
Total energy (eV per cell): -16.84
Calculated density (Mg/m³): 8.63
Energy of formation (eV/atom): 0.06
DOS at the Fermi energy (states/eV per atom): 1.440

a b c (Å): 2.999 2.999 8.393
angles (deg): 90.00 90.00 90.00
Space group P4/mmm (No. 123)
Symmetry-distinct sites (fractional):
Mg: 0.000 0.000 0.000
Np: 0.000 0.000 0.500
Zn: 0.500 0.500 0.230